(1)
# PS3Br PBE optimized geometry
# - excess energy over the best structure of this formula in the dataset (meV per atom) = 879
data_PS3Br
_symmetry_space_group_name_H-M 'P 1'
_symmetry_Int_Tables_number 1
_symmetry_space_group_name_Hall 'P 1'
_cell_length_a 4.583
_cell_length_b 4.583
_cell_length_c 4.583
_cell_angle_alpha 90.00
_cell_angle_beta 90.00
_cell_angle_gamma 90.00
loop_
_atom_site_label
_atom_site_type_symbol
_atom_site_fract_x
_atom_site_fract_y
_atom_site_fract_z
_atom_site_occupancy
P1 P 0.000 0.000 0.000 1
S1 S 0.000 0.500 0.000 1
S2 S 0.000 0.000 0.500 1
S3 S 0.500 0.000 0.000 1
Br1 Br 0.500 0.500 0.500 1

=====

(2)
# TmAl2Pt6 PBE optimized geometry
# - energy relative to the elements (eV per atom) = -0.72
data_TmAl2Pt6
_symmetry_space_group_name_H-M 'P 1'
_symmetry_Int_Tables_number 1
_symmetry_space_group_name_Hall 'P 1'
_cell_length_a 4.306
_cell_length_b 6.357
_cell_length_c 6.357
_cell_angle_alpha 117.61
_cell_angle_beta 90.00
_cell_angle_gamma 90.00
loop_
_atom_site_label
_atom_site_type_symbol
_atom_site_fract_x
_atom_site_fract_y
_atom_site_fract_z
_atom_site_occupancy
Tm1 Tm 0.500 0.072 0.072 1
Al1 Al 0.000 0.559 0.311 1
Al2 Al 0.000 0.311 0.559 1
Pt1 Pt 0.500 0.511 0.511 1
Pt2 Pt 0.500 0.570 0.064 1
Pt3 Pt 0.500 0.064 0.570 1
Pt4 Pt 0.000 0.772 0.772 1
Pt5 Pt 0.000 0.243 0.897 1
Pt6 Pt 0.000 0.897 0.243 1

=====

(3)
# Ta2Be2Ga PBE optimized geometry
# - energy relative to the elements (eV per atom) = -0.23
# - excess energy over the best structure of this formula in the dataset (meV per atom) = 0
data_Ta2Be2Ga
_symmetry_space_group_name_H-M 'P 1'
_symmetry_Int_Tables_number 1
_symmetry_space_group_name_Hall 'P 1'
_cell_length_a 3.456
_cell_length_b 3.377
_cell_length_c 5.944
_cell_angle_alpha 106.51
_cell_angle_beta 90.00
_cell_angle_gamma 90.00
loop_
_atom_site_label
_atom_site_type_symbol
_atom_site_fract_x
_atom_site_fract_y
_atom_site_fract_z
_atom_site_occupancy
Ta1 Ta 0.500 0.636 0.272 1
Ta2 Ta 0.500 0.364 0.728 1
Be1 Be 0.000 0.202 0.404 1
Be2 Be 0.000 0.798 0.596 1
Ga1 Ga 0.000 0.000 0.000 1

=====

(4)
# K3Na6Tl PBE optimized geometry
# - energy relative to the elements (eV per atom) = 0.12
# - excess energy over the best structure of this formula in the dataset (meV per atom) = 118
data_K3Na6Tl
_symmetry_space_group_name_H-M 'P 1'
_symmetry_Int_Tables_number 1
_symmetry_space_group_name_Hall 'P 1'
_cell_length_a 9.177
_cell_length_b 9.177
_cell_length_c 9.177
_cell_angle_alpha 60.00
_cell_angle_beta 60.00
_cell_angle_gamma 60.00
loop_
_atom_site_label
_atom_site_type_symbol
_atom_site_fract_x
_atom_site_fract_y
_atom_site_fract_z
_atom_site_occupancy
K1 K 0.750 0.750 0.750 1
K2 K 0.250 0.250 0.250 1
K3 K 0.500 0.500 0.500 1
Na1 Na 0.771 0.771 0.229 1
Na2 Na 0.229 0.771 0.771 1
Na3 Na 0.229 0.771 0.229 1
Na4 Na 0.771 0.229 0.229 1
Na5 Na 0.771 0.229 0.771 1
Na6 Na 0.229 0.229 0.771 1
Tl1 Tl 0.000 0.000 0.000 1

=====

(5)
# Tm8Sn2Au3 PBE optimized geometry
# - energy relative to the elements (eV per atom) = -0.41
data_Tm8Sn2Au3
_symmetry_space_group_name_H-M 'P 1'
_symmetry_Int_Tables_number 1
_symmetry_space_group_name_Hall 'P 1'
_cell_length_a 6.520
_cell_length_b 7.483
_cell_length_c 9.213
_cell_angle_alpha 113.96
_cell_angle_beta 108.04
_cell_angle_gamma 90.00
loop_
_atom_site_label
_atom_site_type_symbol
_atom_site_fract_x
_atom_site_fract_y
_atom_site_fract_z
_atom_site_occupancy
Tm1 Tm 0.059 0.674 0.349 1
Tm2 Tm 0.941 0.326 0.651 1
Tm3 Tm 0.939 0.091 0.182 1
Tm4 Tm 0.061 0.909 0.818 1
Tm5 Tm 0.565 0.642 0.773 1
Tm6 Tm 0.565 0.132 0.773 1
Tm7 Tm 0.435 0.868 0.227 1
Tm8 Tm 0.435 0.358 0.227 1
Sn1 Sn 0.331 0.248 0.496 1
Sn2 Sn 0.669 0.752 0.504 1
Au1 Au 0.500 0.000 0.000 1
Au2 Au 0.000 0.314 0.000 1
Au3 Au 0.000 0.686 0.000 1

=====

(6)
Computed, not measured: a geometry-optimized LiAcCO4 structure at the PBE level of DFT.

Cell and atoms, written as CIF:
```
data_LiAcCO4
_symmetry_space_group_name_H-M 'P 1'
_symmetry_Int_Tables_number 1
_symmetry_space_group_name_Hall 'P 1'
_cell_length_a 5.186
_cell_length_b 6.312
_cell_length_c 6.312
_cell_angle_alpha 83.48
_cell_angle_beta 65.74
_cell_angle_gamma 65.74
loop_
_atom_site_label
_atom_site_type_symbol
_atom_site_fract_x
_atom_site_fract_y
_atom_site_fract_z
_atom_site_occupancy
Li1 Li 0.500 0.000 0.500 1
Li2 Li 0.000 0.000 0.500 1
Ac1 Ac 0.000 0.000 0.000 1
Ac2 Ac 0.000 0.500 0.500 1
C1 C 0.585 0.665 0.165 1
C2 C 0.415 0.335 0.835 1
O1 O 0.671 0.719 0.939 1
O2 O 0.329 0.561 0.781 1
O3 O 0.671 0.439 0.219 1
O4 O 0.329 0.281 0.061 1
O5 O 0.239 0.784 0.284 1
O6 O 0.693 0.784 0.284 1
O7 O 0.307 0.216 0.716 1
O8 O 0.761 0.216 0.716 1
```

=====

(7)
# ZrSb2Os PBE optimized geometry
# - excess energy over the best structure of this formula in the dataset (meV per atom) = 487
data_ZrSb2Os
_symmetry_space_group_name_H-M 'P 1'
_symmetry_Int_Tables_number 1
_symmetry_space_group_name_Hall 'P 1'
_cell_length_a 4.315
_cell_length_b 4.315
_cell_length_c 10.097
_cell_angle_alpha 77.66
_cell_angle_beta 77.66
_cell_angle_gamma 90.00
loop_
_atom_site_label
_atom_site_type_symbol
_atom_site_fract_x
_atom_site_fract_y
_atom_site_fract_z
_atom_site_occupancy
Sb1 Sb 0.646 0.125 0.250 1
Sb2 Sb 0.104 0.625 0.250 1
Sb3 Sb 0.375 0.354 0.750 1
Sb4 Sb 0.875 0.896 0.750 1
Os1 Os 0.000 0.000 0.000 1
Os2 Os 0.750 0.250 0.500 1
Zr1 Zr 0.500 0.500 0.000 1
Zr2 Zr 0.250 0.750 0.500 1

=====

(8)
# ZrGa2Pt PBE optimized geometry
# - energy relative to the elements (eV per atom) = -0.65
data_ZrGa2Pt
_symmetry_space_group_name_H-M 'P 1'
_symmetry_Int_Tables_number 1
_symmetry_space_group_name_Hall 'P 1'
_cell_length_a 4.216
_cell_length_b 4.216
_cell_length_c 5.166
_cell_angle_alpha 65.92
_cell_angle_beta 65.92
_cell_angle_gamma 60.00
loop_
_atom_site_label
_atom_site_type_symbol
_atom_site_fract_x
_atom_site_fract_y
_atom_site_fract_z
_atom_site_occupancy
Ga1 Ga 0.773 0.773 0.680 1
Ga2 Ga 0.227 0.227 0.320 1
Zr1 Zr 0.000 0.000 0.000 1
Pt1 Pt 0.500 0.500 0.500 1

=====

(9)
# CaTb6 PBE optimized geometry
# - energy relative to the elements (eV per atom) = 1.36
data_CaTb6
_symmetry_space_group_name_H-M 'P 1'
_symmetry_Int_Tables_number 1
_symmetry_space_group_name_Hall 'P 1'
_cell_length_a 7.134
_cell_length_b 7.134
_cell_length_c 7.134
_cell_angle_alpha 109.47
_cell_angle_beta 109.47
_cell_angle_gamma 109.47
loop_
_atom_site_label
_atom_site_type_symbol
_atom_site_fract_x
_atom_site_fract_y
_atom_site_fract_z
_atom_site_occupancy
Ca1 Ca 0.000 0.000 0.000 1
Tb1 Tb 0.250 0.750 0.500 1
Tb2 Tb 0.500 0.750 0.250 1
Tb3 Tb 0.250 0.500 0.750 1
Tb4 Tb 0.750 0.250 0.500 1
Tb5 Tb 0.500 0.250 0.750 1
Tb6 Tb 0.750 0.500 0.250 1

=====

(10)
# BaReC2 PBE optimized geometry
# - energy relative to the elements (eV per atom) = 2.36
# - excess energy over the best structure of this formula in the dataset (meV per atom) = 2072
data_BaReC2
_symmetry_space_group_name_H-M 'P 1'
_symmetry_Int_Tables_number 1
_symmetry_space_group_name_Hall 'P 1'
_cell_length_a 4.364
_cell_length_b 4.364
_cell_length_c 4.364
_cell_angle_alpha 60.00
_cell_angle_beta 60.00
_cell_angle_gamma 60.00
loop_
_atom_site_label
_atom_site_type_symbol
_atom_site_fract_x
_atom_site_fract_y
_atom_site_fract_z
_atom_site_occupancy
Re1 Re 0.500 0.500 0.500 1
C1 C 0.250 0.250 0.250 1
C2 C 0.750 0.750 0.750 1
Ba1 Ba 0.000 0.000 0.000 1

=====

(11)
# EuHoScIn PBE optimized geometry
# - energy relative to the elements (eV per atom) = -0.09
data_EuHoScIn
_symmetry_space_group_name_H-M 'P 1'
_symmetry_Int_Tables_number 1
_symmetry_space_group_name_Hall 'P 1'
_cell_length_a 5.369
_cell_length_b 5.369
_cell_length_c 5.369
_cell_angle_alpha 60.00
_cell_angle_beta 60.00
_cell_angle_gamma 60.00
loop_
_atom_site_label
_atom_site_type_symbol
_atom_site_fract_x
_atom_site_fract_y
_atom_site_fract_z
_atom_site_occupancy
Eu1 Eu 0.250 0.250 0.250 1
Sc1 Sc 0.500 0.500 0.500 1
Ho1 Ho 0.000 0.000 0.000 1
In1 In 0.750 0.750 0.750 1

=====

(12)
Computed, not measured: a geometry-optimized KLi2GeS4 structure at the PBE level of DFT.

Cell and atoms, written as CIF:
```
data_KLi2GeS4
_symmetry_space_group_name_H-M 'P 1'
_symmetry_Int_Tables_number 1
_symmetry_space_group_name_Hall 'P 1'
_cell_length_a 6.606
_cell_length_b 6.332
_cell_length_c 6.332
_cell_angle_alpha 84.95
_cell_angle_beta 58.56
_cell_angle_gamma 58.56
loop_
_atom_site_label
_atom_site_type_symbol
_atom_site_fract_x
_atom_site_fract_y
_atom_site_fract_z
_atom_site_occupancy
K1 K 0.000 0.000 0.000 1
Li1 Li 0.500 0.750 0.250 1
Li2 Li 0.500 0.250 0.750 1
Ge1 Ge 0.000 0.500 0.500 1
S1 S 0.618 0.535 0.847 1
S2 S 0.382 0.153 0.465 1
S3 S 0.000 0.465 0.153 1
S4 S 0.000 0.847 0.535 1
```

=====

What are the raw total energy values for these records? In order: -3.17 -6.08 -7.07 -1.24 -4.54 -6.93 -6.72 -5.81 -2.89 -5.85 -6.07 -4.08 eV/atom.